! Sr4TeSe2Br (GGA-PBE, relaxed); values from VASP
! uncorrected formation energy: -1.808 eV/atom
! final energy: -4.12 eV/atom
! theoretical density: 4.54 g cm⁻³
&SYSTEM
  ibrav = 0, nat = 8, ntyp = 4
/
ATOMIC_SPECIES
Sr 87.62 Sr.upf
Te 127.60 Te.upf
Se 78.96 Se.upf
Br 79.90 Br.upf
ATOMIC_POSITIONS crystal
Sr 0.000 0.501 0.000
Sr 0.250 0.750 0.250
Sr 0.501 0.000 0.499
Sr 0.750 0.250 0.750
Te 0.001 0.001 0.999
Se 0.250 0.250 0.250
Se 0.750 0.750 0.750
Br 0.500 0.500 0.500
CELL_PARAMETERS angstrom
0.000 6.395 4.523
4.522 0.000 4.523
4.522 6.395 0.000